# 1
CaPuI4: relaxed, PBE. Values from VASP.

The structure in Quantum ESPRESSO input format:
```
&SYSTEM
  ibrav = 0, nat = 6, ntyp = 3
/
ATOMIC_SPECIES
Ca 40.08 Ca.upf
Pu 244.00 Pu.upf
I 126.90 I.upf
CELL_PARAMETERS angstrom
-0.1839 1.9625 4.0513
6.5424 -5.9746 0.6860
1.8572 6.9607 -3.2875
ATOMIC_POSITIONS angstrom
Ca 0.0000 0.0000 0.0000
Pu 0.8366 4.4616 0.3819
I 5.0023 -3.5130 1.9288
I 2.3761 1.9273 -0.8257
I 3.2134 6.4615 -0.4789
I 5.8396 1.0213 2.2756
```

# 2
LiCaSbRh: relaxed, PBE. Values from VASP.

The structure in Quantum ESPRESSO input format:
```
&SYSTEM
  ibrav = 0, nat = 4, ntyp = 4
/
ATOMIC_SPECIES
Sb 121.76 Sb.upf
Ca 40.08 Ca.upf
Rh 102.91 Rh.upf
Li 6.94 Li.upf
CELL_PARAMETERS angstrom
4.7314 0.0000 0.0000
2.3657 4.0975 0.0000
2.3657 1.3658 3.8632
ATOMIC_POSITIONS angstrom
Sb 2.3657 1.3658 0.9658
Ca 7.0971 4.0975 2.8974
Rh 4.7314 2.7317 1.9316
Li 0.0000 0.0000 0.0000
```

Calculated values (states/eV/cell) of D(E_F) for the records, taken in order: 16.59; 2.23.
Calculated values (eV per atom) of formation energy without anion corrections for the records, taken in order: -1.316; -0.615.